KCdSe2N | PBE-GGA | optimized geometry

Computed properties:
Raw formation energy: 1.34 eV/atom
Total magnetic moment: 4.29 μB/cell

Unit cell a=5.8831 b=5.8831 c=4.9262 alpha=90.00 beta=90.00 gamma=90.00
Space group P4/mmm (No. 123)
One atom of each set of equivalent atoms:
K  0.0000  0.0000  0.0000 [1 per cell]
Cd  0.5000  0.5000  0.5000 [1 per cell]
Se  0.0000  0.5000  0.0000 [2 per cell]
N  0.0000  0.0000  0.5000 [1 per cell]

K3ZrZn | PBE-GGA | optimized geometry

Computed properties:
ΔE_f: 1.13 eV per atom
Total magnetic moment: 5.00 μB/cell

Unit cell a=6.9211 b=6.9211 c=6.9211 alpha=90.00 beta=90.00 gamma=90.00
Space group Pm-3m (No. 221)
One atom of each set of equivalent atoms:
K  0.0000  0.0000  0.5000 [3 per cell]
Zr  0.0000  0.0000  0.0000 [1 per cell]
Zn  0.5000  0.5000  0.5000 [1 per cell]

MnAlH6 | PBE-GGA | optimized geometry

Computed properties:
Total DFT energy (no corrections): -33.189 eV for the cell shown
Total magnetic moment: 0.00 μB/cell

Unit cell a=2.9341 b=4.4695 c=5.0454 alpha=105.78 beta=101.61 gamma=109.04
Space group P1 (No. 1)
One atom of each set of equivalent atoms:
Mn  0.0000  0.0000  0.0000 [1 per cell]
Al  0.2790  0.5607  0.0006 [1 per cell]
H  0.2450  0.3571  0.2703 [1 per cell]
H  0.3546  0.9575  0.8003 [1 per cell]
H  0.5756  0.1247  0.2005 [1 per cell]
H  0.7071  0.6252  0.7466 [1 per cell]
H  0.9437  0.1269  0.7301 [1 per cell]
H  0.9887  0.8412  0.2532 [1 per cell]

Tm6Fe2Rh | PBE-GGA | optimized geometry

Computed properties:
ΔE_f: -0.25 eV per atom
Total magnetic moment: 6.53 μB/cell

Unit cell a=9.0783 b=9.4163 c=9.4729 alpha=90.00 beta=90.00 gamma=90.00
Space group Immm (No. 71)
One atom of each set of equivalent atoms:
Tm  0.0000  0.1810  0.1976 [8 per cell]
Tm  0.1795  0.5000  0.2414 [8 per cell]
Tm  0.1932  0.2425  0.5000 [8 per cell]
Fe  0.0000  0.3890  0.0000 [4 per cell]
Fe  0.1266  0.0000  0.0000 [4 per cell]
Rh  0.0000  0.0000  0.5000 [2 per cell]
Rh  0.0000  0.5000  0.5000 [2 per cell]

SrCdIr3 | PBE-GGA | optimized geometry

Computed properties:
ΔE_f: 1.41 eV per atom
Total magnetic moment: 2.21 μB/cell

Unit cell a=4.9682 b=4.9682 c=4.9682 alpha=90.00 beta=90.00 gamma=90.00
Space group Pm-3m (No. 221)
One atom of each set of equivalent atoms:
Sr  0.0000  0.0000  0.0000 [1 per cell]
Cd  0.5000  0.5000  0.5000 [1 per cell]
Ir  0.0000  0.5000  0.5000 [3 per cell]

ReAgBr2 | PBE-GGA | optimized geometry

Computed properties:
Raw formation energy: 0.49 eV/atom
Total magnetic moment: 2.29 μB/cell

Unit cell a=10.2988 b=3.1023 c=7.5570 alpha=90.00 beta=111.50 gamma=90.00
Space group Cm (No. 8)
One atom of each set of equivalent atoms:
Re  0.0000  0.0000  0.0000 [2 per cell]
Ag  0.2661  0.0000  0.9999 [2 per cell]
Br  0.0908  0.5000  0.2870 [2 per cell]
Br  0.4367  0.0000  0.7130 [2 per cell]

ZrTl4Re | PBE-GGA | optimized geometry

Computed properties:
ΔE_f: 1.14 eV per atom
Total magnetic moment: 7.58 μB/cell

Unit cell a=8.4177 b=8.4177 c=8.4177 alpha=90.00 beta=90.00 gamma=90.00
Space group F-43m (No. 216)
One atom of each set of equivalent atoms:
Zr  0.0000  0.0000  0.0000 [4 per cell]
Tl  0.1247  0.1247  0.3753 [16 per cell]
Re  0.2500  0.2500  0.7500 [4 per cell]

Zr2Sc2Ir3 | PBE-GGA | optimized geometry

Computed properties:
ΔE_f: -0.86 eV per atom
Total magnetic moment: 0.00 μB/cell

Unit cell a=7.9617 b=4.6023 c=7.9110 alpha=90.00 beta=109.56 gamma=90.00
Space group C2/m (No. 12)
One atom of each set of equivalent atoms:
Zr  0.1201  0.0000  0.3592 [4 per cell]
Sc  0.1292  0.5000  0.8882 [4 per cell]
Ir  0.0000  0.5000  0.5000 [2 per cell]
Ir  0.2469  0.0000  0.7403 [4 per cell]

Please write out number 5 again, unchanged.
SrCdIr3 | PBE-GGA | optimized geometry

Computed properties:
ΔE_f: 1.41 eV per atom
Total magnetic moment: 2.21 μB/cell

Unit cell a=4.9682 b=4.9682 c=4.9682 alpha=90.00 beta=90.00 gamma=90.00
Space group Pm-3m (No. 221)
One atom of each set of equivalent atoms:
Sr  0.0000  0.0000  0.0000 [1 per cell]
Cd  0.5000  0.5000  0.5000 [1 per cell]
Ir  0.0000  0.5000  0.5000 [3 per cell]

What is the formula in the sixth record?
ReAgBr2

The highest total magnetic moment belongs to which entry?
ZrTl4Re

Which value of total magnetic moment does entry 5 give?
2.21 μB/cell